[1]
InFe2HW: optimized geometry, PBE-GGA.

## Properties
The total energy comes out at -33.28 eV/cell. The crystal system is tetragonal.

a b c (Å): 3.847 4.210 3.847
angles (deg): 90.00 90.00 90.00
Each line ends with the local moment (μB).
Element x y z (fractional)
H 0.000 0.000 0.000  -0.03
In 0.000 0.500 0.000  0.00
Fe 0.000 0.000 0.500  2.28
Fe 0.500 0.000 0.000  2.32
W 0.500 0.500 0.500  0.01



[2]
YInFe2H: optimized geometry, PBE-GGA.

## Properties
The total energy comes out at -22.14 eV/cell. The crystal system is tetragonal.

a b c (Å): 4.858 5.839 4.858
angles (deg): 90.00 90.00 90.00
Each line ends with the local moment (μB).
Element x y z (fractional)
Fe 0.000 0.000 0.500  3.33
Fe 0.500 0.000 0.000  2.77
In 0.000 0.000 0.000  -0.04
Y 0.000 0.500 0.000  -0.12
H 0.500 0.500 0.500  0.07



[3]
FeH2Ir: optimized geometry, PBE-GGA.

## Properties
The total energy comes out at -23.49 eV/cell. The crystal system is trigonal.

a b c (Å): 2.778 2.778 5.117
angles (deg): 74.25 74.25 60.00
Each line ends with the local moment (μB).
Element x y z (fractional)
Ir 0.000 0.000 0.000  0.37
Fe 0.500 0.500 0.500  2.28
H 0.881 0.881 0.357  -0.02
H 0.119 0.119 0.643  -0.02



[4]
FeH2Ir4: optimized geometry, PBE-GGA.

## Properties
The total energy comes out at -41.84 eV/cell. The crystal system is tetragonal.

a b c (Å): 4.410 4.410 5.516
angles (deg): 66.44 66.44 90.00
Element x y z (fractional)
Ir 0.271 0.271 0.458
Ir 0.500 0.000 0.000
Ir 0.000 0.500 0.000
Ir 0.729 0.729 0.542
H 0.442 0.442 0.116
H 0.558 0.558 0.884
Fe 0.000 0.000 0.000



[5]
FeHIr: optimized geometry, PBE-GGA.

## Properties
The total energy comes out at -20.46 eV/cell. The crystal system is tetragonal.

a b c (Å): 3.752 2.776 2.775
angles (deg): 90.00 90.00 90.00
Each line ends with the local moment (μB).
Element x y z (fractional)
Ir 0.774 0.356 0.190  0.31
H 0.274 0.356 0.189  -0.02
Fe 0.274 0.856 0.690  2.60



[6]
FeH2Ir: optimized geometry, PBE-GGA.

## Properties
The total energy comes out at -21.55 eV/cell. The crystal system is cubic.

a b c (Å): 3.632 3.632 3.632
angles (deg): 60.00 60.00 60.00
Each line ends with the local moment (μB).
Element x y z (fractional)
H 0.250 0.250 0.250  -0.01
H 0.750 0.750 0.750  -0.01
Fe 0.000 0.000 0.000  2.76
Ir 0.500 0.500 0.500  0.34



[7]
Fe2HIr: optimized geometry, PBE-GGA.

## Properties
The total energy comes out at -55.74 eV/cell. The crystal system is tetragonal.

a b c (Å): 5.583 5.583 4.680
angles (deg): 53.38 53.38 90.00
Element x y z (fractional)
Ir 0.000 0.000 0.000
Ir 0.750 0.250 0.500
Fe 0.375 0.486 0.750
Fe 0.236 0.625 0.250
Fe 0.514 0.125 0.250
Fe 0.875 0.764 0.750
H 0.250 0.750 0.500
H 0.500 0.500 0.000



[8]
Fe2HIr: optimized geometry, PBE-GGA.

## Properties
The total energy comes out at -25.99 eV/cell. The crystal system is cubic.

a b c (Å): 3.938 3.938 3.938
angles (deg): 60.00 60.00 60.00
Element x y z (fractional)
Fe 0.250 0.250 0.250
Fe 0.750 0.750 0.750
Ir 0.500 0.500 0.500
H 0.000 0.000 0.000



[9]
FeH2Ir: optimized geometry, PBE-GGA.

## Properties
The total energy comes out at -23.11 eV/cell. The crystal system is trigonal.

a b c (Å): 2.714 2.714 5.021
angles (deg): 74.32 74.32 60.00
Element x y z (fractional)
H 0.051 0.051 0.848
H 0.282 0.282 0.154
Ir 0.495 0.495 0.516
Fe 0.673 0.673 0.982



[10]
Fe2HIr: optimized geometry, PBE-GGA.

## Properties
The total energy comes out at -29.16 eV/cell. The crystal system is monoclinic.

a b c (Å): 2.681 2.681 6.588
angles (deg): 78.40 78.40 59.92
Each line ends with the local moment (μB).
Element x y z (fractional)
Ir 0.499 0.499 0.502  0.01
Fe 0.056 0.056 0.833  2.23
Fe 0.275 0.275 0.173  2.32
H 0.669 0.669 0.992  -0.03



[11]
FeH2Ir: optimized geometry, PBE-GGA.

## Properties
The total energy comes out at -46.58 eV/cell. The crystal system is tetragonal.

a b c (Å): 4.077 4.077 4.974
angles (deg): 65.80 65.80 90.00
Each line ends with the local moment (μB).
Element x y z (fractional)
H 0.875 0.865 0.750  -0.02
H 0.615 0.125 0.250  -0.01
H 0.135 0.625 0.250  -0.01
H 0.375 0.385 0.750  -0.01
Fe 0.500 0.500 0.000  2.55
Fe 0.250 0.750 0.500  2.55
Ir 0.750 0.250 0.500  0.39
Ir 0.000 0.000 0.000  0.39



[12]
FeHIr: optimized geometry, PBE-GGA.

## Properties
The total energy comes out at -80.54 eV/cell. The crystal system is orthorhombic.

a b c (Å): 4.767 4.141 6.053
angles (deg): 90.00 90.00 90.00
Each line ends with the local moment (μB).
Element x y z (fractional)
Ir 0.420 0.750 0.848  0.18
Ir 0.580 0.250 0.152  0.18
Ir 0.080 0.250 0.348  0.19
Ir 0.920 0.750 0.652  0.19
Fe 0.931 0.750 0.095  2.50
Fe 0.569 0.250 0.595  2.53
Fe 0.069 0.250 0.905  2.50
Fe 0.431 0.750 0.405  2.53
H 0.555 0.750 0.127  -0.01
H 0.445 0.250 0.873  -0.01
H 0.055 0.750 0.373  -0.01
H 0.945 0.250 0.627  -0.01



What is the formula in the third record?
FeH2Ir